Version P
# IrPt2Rh (PBE, optimized geometry)
data_IrPt2Rh
_chemical_formula_sum 'Ir1 Pt2 Rh1'
_cell_length_a 2.7570
_cell_length_b 2.7570
_cell_length_c 7.9017
_cell_angle_alpha 90.00
_cell_angle_beta 90.00
_cell_angle_gamma 90.00
_space_group_name_H-M_alt 'P 4 m m'
_space_group_IT_number 99
loop_
_space_group_symop_operation_xyz
'x,y,z'
'-y,x,z'
'-x,-y,z'
'y,-x,z'
'-x,y,z'
'y,x,z'
'x,-y,z'
'-y,-x,z'
loop_
_atom_site_label
_atom_site_fract_x
_atom_site_fract_y
_atom_site_fract_z
Ir1 0.0000 0.0000 0.0000
Pt1 0.0000 0.0000 0.5152
Pt2 0.5000 0.5000 0.2501
Rh1 0.5000 0.5000 0.7688
# Spin magnetization in μB/cell: 0.00

=====

Version Q
# IrPt2Rh (PBE, optimized geometry)
data_IrPt2Rh
_chemical_formula_sum 'Ir3 Pt6 Rh3'
_cell_length_a 2.7749
_cell_length_b 2.7749
_cell_length_c 26.9507
_cell_angle_alpha 90.00
_cell_angle_beta 90.00
_cell_angle_gamma 120.00
_space_group_name_H-M_alt 'R -3 m'
_space_group_IT_number 166
_space_group_name_Hall '-R 3 2"'
loop_
_atom_site_label
_atom_site_fract_x
_atom_site_fract_y
_atom_site_fract_z
Ir1 0.0000 0.0000 0.0000
Pt1 0.0000 0.0000 0.2500
Rh1 0.0000 0.0000 0.5000
# Spin magnetization in μB/cell: 0.01

=====

The relative energies come out as version P 0.0; version Q 4.2, with values in kJ/mol of atoms.